Compound: Mn2HgO
Source: Alexandria via LeMat-Bulk
Functional: PBE+U
Structure: optimized geometry

Space-group type: Fm-3m (225)
Magnetization in μB per formula unit: 9.527
DFT total energy in eV per atom: -4.85
Calculated volume in Å³ per cell: 68
Offset from the most stable computed form in eV per formula unit: 2.88

Unit cell a=4.573 b=4.573 c=4.573 alpha=60.00 beta=60.00 gamma=60.00
Each line ends with the local moment (μB).
Positions (direct):
Mn: 0.250 0.250 0.250  4.50
Mn: 0.750 0.750 0.750  4.50
Hg: 0.500 0.500 0.500  -0.01
O: 0.000 0.000 0.000  0.15